Below is a relaxed structure of ErTm2Co2B2C3, with properties calculated at the PBE level.

## Properties
DFT total energy (eV/atom): -7.2375

Cell: 10.4927 10.4927 10.4927 Å, 160.82 160.82 27.26°
Closest atoms and distances in Å follow each position.
Atoms (fractional coordinates):
C  0.5000  0.5000  0.0000  4 Er 2.47, 2 Tm 2.51
C  0.8803  0.8803  0.0000  1 B 1.50
Tm  0.6229  0.6229  0.0000  5 C 2.47-2.51
Er  0.0000  0.0000  0.0000  6 C 2.44-2.47
Tm  0.3771  0.3771  0.0000  5 C 2.47-2.51
B  0.8067  0.8067  0.0000  1 C 1.50
Co  0.7500  0.2500  0.5000  4 B 2.10
Co  0.2500  0.7500  0.5000  4 B 2.10
B  0.1933  0.1933  0.0000  1 C 1.50
C  0.1197  0.1197  0.0000  1 B 1.50

=====

Below is a relaxed structure of SnIrOs, with properties calculated at the PBE level.

## Properties
DFT total energy (eV/atom): -7.5831
Energy relative to the lowest polymorph listed for this composition (meV per atom): 0

Cell: 4.3421 4.3421 4.3421 Å, 60.00 60.00 60.00°
Closest atoms and distances in Å follow each position.
Atoms (fractional coordinates):
Sn  0.7500  0.7500  0.7500  4 Os 2.66
Ir  0.2500  0.2500  0.2500  4 Os 2.66
Os  0.0000  0.0000  0.0000  4 Sn 2.66, 4 Ir 2.66

=====

Below is a relaxed structure of Pr2Ni17, with properties calculated at the PBE level.

## Properties
DFT total energy (eV/atom): -5.6403
Calculated formation energy (meV per atom): -156

Cell: 6.3052 6.3052 6.3052 Å, 83.18 83.18 83.18°
Closest atoms and distances in Å follow each position.
Atoms (fractional coordinates):
Ni  0.6565  0.6565  0.1529  9 Ni 2.41-2.59
Pr  0.3401  0.3401  0.3401  19 Ni 2.94-3.21
Ni  0.6565  0.1529  0.6565  9 Ni 2.41-2.59
Ni  0.0000  0.7109  0.2891  8 Ni 2.38-2.58
Ni  0.0000  0.0000  0.5000  10 Ni 2.38-2.56
Ni  0.0000  0.2891  0.7109  8 Ni 2.38-2.58
Ni  0.0981  0.0981  0.0981  7 Ni 2.38-2.59
Ni  0.9019  0.9019  0.9019  7 Ni 2.38-2.59
Ni  0.5000  0.0000  0.0000  10 Ni 2.38-2.56
Ni  0.3435  0.8471  0.3435  9 Ni 2.41-2.59
Ni  0.7109  0.2891  0.0000  8 Ni 2.38-2.58
Ni  0.3435  0.3435  0.8471  9 Ni 2.41-2.59
Ni  0.2891  0.0000  0.7109  8 Ni 2.38-2.58
Ni  0.0000  0.5000  0.0000  10 Ni 2.38-2.56
Ni  0.2891  0.7109  0.0000  8 Ni 2.38-2.58
Ni  0.8471  0.3435  0.3435  9 Ni 2.41-2.59
Ni  0.7109  0.0000  0.2891  8 Ni 2.38-2.58
Ni  0.1529  0.6565  0.6565  9 Ni 2.41-2.59
Pr  0.6599  0.6599  0.6599  19 Ni 2.94-3.21

=====

Below is a relaxed structure of NaScU, with properties calculated at the PBE level.

## Properties
DFT total energy (eV/atom): -4.7502
Energy relative to the lowest polymorph listed for this composition (meV per atom): 0

Cell: 5.0933 5.0933 5.0933 Å, 60.00 60.00 60.00°
Closest atoms and distances in Å follow each position.
Atoms (fractional coordinates):
Na  0.2500  0.2500  0.2500  4 Sc 3.12
Sc  0.0000  0.0000  0.0000  4 Na 3.12, 4 U 3.12
U  0.7500  0.7500  0.7500  4 Sc 3.12

=====

Below is a relaxed structure of Zn2Si2O5, with properties calculated at the PBE level.

## Properties
DFT total energy (eV/atom): -5.7040
Energy relative to the lowest polymorph listed for this composition (meV per atom): 0

Cell: 9.0902 3.3867 3.3867 Å, 90.00 90.00 90.00°
Closest atoms and distances in Å follow each position.
Atoms (fractional coordinates):
Si  0.3081  0.5000  0.5000  5 O 1.70-1.74
O  0.5000  0.5000  0.5000  2 Si 1.74
O  0.2886  0.0000  0.5000  2 Si 1.70
O  0.2886  0.5000  0.0000  2 Si 1.70
O  0.7114  0.5000  0.0000  2 Si 1.70
Zn  0.0000  0.0000  0.0000  8 O 3.12, 4 Zn 3.39
O  0.7114  0.0000  0.5000  2 Si 1.70
Zn  0.5000  0.0000  0.0000  12 O 2.39-2.56
Si  0.6919  0.5000  0.5000  5 O 1.70-1.74

=====

Below is a relaxed structure of Te3MoSeI, with properties calculated at the PBE level.

## Properties
DFT total energy (eV/atom): -4.4817
Energy relative to the lowest polymorph listed for this composition (meV per atom): 0

Cell: 6.7714 8.5261 8.7549 Å, 116.08 98.40 104.30°
Closest atoms and distances in Å follow each position.
Atoms (fractional coordinates):
Se  0.9597  0.8123  0.1006  2 Mo 2.58, 1 Te 2.68
Te  0.1149  0.1840  0.3076  1 Se 2.68, 2 Mo 2.75
Mo  0.7835  0.0003  0.9998  2 Se 2.58, 4 Te 2.75-2.87
I  0.7392  0.4044  0.6021  1 Te 3.09
Mo  0.2165  0.9997  0.0002  2 Se 2.58, 4 Te 2.75-2.87
Te  0.6189  0.3025  0.1326  1 Te 2.70, 2 Mo 2.90
Se  0.0403  0.1877  0.8994  2 Mo 2.58, 1 Te 2.68
Te  0.3811  0.6975  0.8674  1 Te 2.70, 2 Mo 2.90
I  0.2608  0.5956  0.3979  1 Te 3.09
Te  0.4739  0.0496  0.7815  1 Te 2.70, 2 Mo 2.86-2.87
Te  0.5261  0.9504  0.2185  1 Te 2.70, 2 Mo 2.86-2.87
Te  0.8851  0.8160  0.6923  1 Se 2.68, 2 Mo 2.75